1.
# TcMoAs2 (PBEsol, relaxed)
data_TcMoAs2
_chemical_formula_sum 'Tc1 Mo1 As2'
_cell_length_a 2.965
_cell_length_b 3.904
_cell_length_c 5.330
_cell_angle_alpha 90.00
_cell_angle_beta 92.72
_cell_angle_gamma 90.00
_symmetry_space_group_name_H-M 'P 1 2/m 1'
_symmetry_Int_Tables_number 10
loop_
_symmetry_equiv_pos_as_xyz
'x,y,z'
'-x,-y,-z'
'-x,y,-z'
'x,-y,z'
loop_
_atom_site_label
_atom_site_fract_x
_atom_site_fract_y
_atom_site_fract_z
Tc1 0.000 0.000 0.000
Mo1 0.500 0.000 0.500
As1 0.142 0.500 0.741
# - Formation energy from the elements: 0.251 eV per atom
# - Total energy: -32.245 eV/cell

2.
# TcMoAs2 (PBEsol, relaxed)
data_TcMoAs2
_chemical_formula_sum 'Tc4 Mo4 As8'
_cell_length_a 6.243
_cell_length_b 6.243
_cell_length_c 6.243
_cell_angle_alpha 90.00
_cell_angle_beta 90.00
_cell_angle_gamma 90.00
_symmetry_space_group_name_H-M 'F -4 3 m'
_symmetry_Int_Tables_number 216
_symmetry_space_group_name_Hall 'F -4 2 3'
loop_
_atom_site_label
_atom_site_fract_x
_atom_site_fract_y
_atom_site_fract_z
Tc1 0.000 0.000 0.000
Mo1 0.250 0.250 0.250
As1 0.000 0.000 0.500
As2 0.250 0.250 0.750
# - Formation energy from the elements: 0.361 eV per atom
# - Total energy: -127.208 eV/cell

3.
# TcMoAs2 (PBEsol, relaxed)
data_TcMoAs2
_chemical_formula_sum 'Tc2 Mo2 As4'
_cell_length_a 3.112
_cell_length_b 4.593
_cell_length_c 9.344
_cell_angle_alpha 90.00
_cell_angle_beta 90.00
_cell_angle_gamma 90.00
_symmetry_space_group_name_H-M 'C m m 2'
_symmetry_Int_Tables_number 35
loop_
_symmetry_equiv_pos_as_xyz
'x,y,z'
'-x,-y,z'
'-x,y,z'
'x,-y,z'
'x+1/2,y+1/2,z'
'-x+1/2,-y+1/2,z'
'-x+1/2,y+1/2,z'
'x+1/2,-y+1/2,z'
loop_
_atom_site_label
_atom_site_fract_x
_atom_site_fract_y
_atom_site_fract_z
Tc1 0.000 0.000 0.000
Mo1 0.000 0.500 0.770
As1 0.000 0.000 0.547
As2 0.000 0.500 0.213
# - Formation energy from the elements: 0.194 eV per atom
# - Total energy: -64.944 eV/cell

4.
# TcMoAs2 (PBEsol, relaxed)
data_TcMoAs2
_chemical_formula_sum 'Tc2 Mo2 As4'
_cell_length_a 5.911
_cell_length_b 7.924
_cell_length_c 2.945
_cell_angle_alpha 90.00
_cell_angle_beta 116.86
_cell_angle_gamma 90.00
_symmetry_space_group_name_H-M 'C 1 2/m 1'
_symmetry_Int_Tables_number 12
loop_
_symmetry_equiv_pos_as_xyz
'x,y,z'
'-x,-y,-z'
'-x,y,-z'
'x,-y,z'
'x+1/2,y+1/2,z'
'-x+1/2,-y+1/2,-z'
'-x+1/2,y+1/2,-z'
'x+1/2,-y+1/2,z'
loop_
_atom_site_label
_atom_site_fract_x
_atom_site_fract_y
_atom_site_fract_z
Tc1 0.000 0.000 0.000
Mo1 0.000 0.500 0.000
As1 0.250 0.250 0.500
# - Formation energy from the elements: 0.271 eV per atom
# - Total energy: -64.328 eV/cell

Question: Look up the total energy of the fourth one.
Answer: -64.328 eV/cell

Question: Among the records above, which one has the highest formation energy from the elements?
Answer: number 2

Question: The highest formation energy from the elements belongs to which entry?
Answer: number 2

Question: What is the formation energy from the elements in the first record?
Answer: 0.251 eV per atom